Below is a relaxed structure of BaPb2AuSe4, with properties calculated at the PBE level.

Computed properties:
As for the uncorrected formation energy: -0.715 eV per atom. The calculation puts the raw total energy at -32.27 eV/f.u. The value obtained for the density of states at the Fermi level is 6.4 states/eV/f.u.

abc: 4.432 14.415 15.055
angles: 90.00 90.00 90.00
Space group Cmcm (No. 63)
Symmetry-distinct sites (fractional):
1 Ba 0.000 0.115 0.250 x4
2 Pb 0.000 0.369 0.053 x8
3 Au 0.000 0.148 0.750 x4
4 Se 0.000 0.000 0.000 x4
5 Se 0.000 0.276 0.621 x8
6 Se 0.000 0.441 0.250 x4